A plane-wave DFT calculation with GGA-PBE was carried out for a geometry-optimized Ca2OsRu structure.

Cell lengths 5.883, 9.378, 2.930 Å; angles 90.00, 111.90, 90.00 degrees
Space group C2/m (No. 12)
Asymmetric unit:
Ca 0.250 0.250 0.000 (multiplicity 4)
Os 0.000 0.000 0.500 (multiplicity 2)
Ru 0.000 0.500 0.500 (multiplicity 2)

Output
ΔH_f (0 K): 0.640 eV per atom

***

A plane-wave DFT calculation with GGA-PBE was carried out for a geometry-optimized CdAgBr structure.

Cell lengths 3.7705, 3.7705, 5.9820 Å; angles 90.00, 90.00, 120.00 degrees
Space group P3m1 (No. 156)
Asymmetric unit:
Cd 0.0000 0.0000 0.0000 (multiplicity 1)
Ag 0.6667 0.3333 0.3076 (multiplicity 1)
Br 0.3333 0.6667 0.6468 (multiplicity 1)

Output
formation energy (no corrections): -0.641 eV per formula unit

***

| no. | VASP energy (eV for the cell shown) | energy above the lowest structure with this stoichiometry (eV per atom) | size of the total moment (μB/f.u.) |
| --- | --- | --- | --- |
| 1 | -43.9 | 0.404 | 0.00 |
| 2 | -6.1 | 0.000 | 0.00 |